Arrangement P

Tb6Sm12Sc after structural relaxation, computed with PBE-GGA.

Summary:
- Spin magnetization: 0.00 μB/atom
- Volume: 33.38 Å³/atom

Cell: 12.0574 12.0574 15.1127 Å, 90.00 90.00 120.00°
Space group R-3 (No. 148, hexagonal axes)
Unique sites:
1 Tb 0.0177 0.4270 0.1869
2 Sm 0.0018 0.8302 0.6889
3 Sm 0.0478 0.8517 0.9155
4 Sc 0.0000 0.0000 0.5000

Arrangement Q

Tb6Sm12Sc after structural relaxation, computed with PBE-GGA.

Summary:
- Spin magnetization: 0.00 μB/atom
- Volume: 34.98 Å³/atom

Cell: 15.9952 15.9952 8.9994 Å, 90.00 90.00 120.00°
Space group R-3m (No. 166, hexagonal axes)
Unique sites:
1 Tb 0.0779 0.5389 0.1819
2 Sm 0.0000 0.3908 0.5000
3 Sm 0.0827 0.1655 0.1697
4 Sc 0.0000 0.0000 0.0000

Stability check: which of them is least stable? arrangement Q.

Arrangement P

Tb5Sm4Sc2 after structural relaxation, computed with PBE-GGA.

Summary:
- Spin magnetization: 0.00 μB/atom
- Volume: 31.10 Å³/atom

Cell: 18.0138 4.9915 7.8926 Å, 90.00 105.37 90.00°
Space group C2/m (No. 12)
Unique sites:
1 Tb 0.0000 0.0000 0.0000
2 Tb 0.1349 0.5000 0.1847
3 Tb 0.2266 0.5000 0.6310
4 Sm 0.0442 0.5000 0.7217
5 Sm 0.1820 0.0000 0.9047
6 Sc 0.0897 0.0000 0.4540

Arrangement Q

Tb5Sm4Sc2 after structural relaxation, computed with PBE-GGA.

Summary:
- Spin magnetization: 0.00 μB/atom
- Volume: 32.81 Å³/atom

Cell: 3.4648 11.3025 18.4312 Å, 90.00 90.00 90.00°
Space group Immm (No. 71)
Unique sites:
1 Tb 0.0000 0.0000 0.0000
2 Tb 0.0000 0.2138 0.3208
3 Sm 0.0000 0.2348 0.5000
4 Sm 0.0000 0.5000 0.0919
5 Sc 0.0000 0.5000 0.2842

Stability check: which of them is least stable? arrangement Q.

Arrangement P

Tb4Sm3Sc2 after structural relaxation, computed with PBE-GGA.

Summary:
- Spin magnetization: 0.00 μB/atom
- Volume: 31.28 Å³/atom

Cell: 16.9581 9.9381 6.7085 Å, 90.00 95.10 90.00°
Space group C2/c (No. 15)
Unique sites:
1 Tb 0.0153 0.1860 0.0156
2 Tb 0.1897 0.3768 0.8923
3 Sm 0.0000 0.4913 0.7500
4 Sm 0.1511 0.0497 0.7380
5 Sc 0.1679 0.2867 0.3747

Arrangement Q

Tb4Sm3Sc2 after structural relaxation, computed with PBE-GGA.

Summary:
- Spin magnetization: 0.00 μB/atom
- Volume: 30.75 Å³/atom

Cell: 11.0965 4.9923 10.5118 Å, 90.00 108.11 90.00°
Space group C2/m (No. 12)
Unique sites:
1 Tb 0.0020 0.0000 0.1702
2 Tb 0.1675 0.5000 0.3904
3 Sm 0.0000 0.0000 0.5000
4 Sm 0.1684 0.5000 0.0552
5 Sc 0.1664 0.5000 0.7215

Stability check: which of them is least stable? arrangement P.

Arrangement P

Tb3SmSc6 after structural relaxation, computed with PBE-GGA.

Summary:
- Spin magnetization: 0.00 μB/atom
- Volume: 27.72 Å³/atom

Cell: 10.5012 17.9285 5.8891 Å, 90.00 90.00 90.00°
Space group Cmc2_1 (No. 36)
Unique sites:
1 Tb 0.0000 0.1002 0.0000
2 Tb 0.1783 0.3959 0.4047
3 Sm 0.0000 0.2853 0.1128
4 Sc 0.0000 0.2035 0.5674
5 Sc 0.0000 0.4496 0.8685
6 Sc 0.1718 0.0550 0.4468
7 Sc 0.2341 0.2831 0.7958

Arrangement Q

Tb3SmSc6 after structural relaxation, computed with PBE-GGA.

Summary:
- Spin magnetization: 0.00 μB/atom
- Volume: 28.09 Å³/atom

Cell: 9.3035 9.3035 11.2442 Å, 90.00 90.00 120.00°
Space group R3 (No. 146, hexagonal axes)
Unique sites:
1 Tb 0.0000 0.0000 0.0000
2 Tb 0.0000 0.0000 0.2492
3 Tb 0.0000 0.0000 0.4983
4 Sm 0.0000 0.0000 0.7493
5 Sc 0.0001 0.3310 0.7496
6 Sc 0.0001 0.6707 0.2498

Stability check: which of them is least stable? arrangement Q.

Arrangement P

TbSm3Sc3 after structural relaxation, computed with PBE-GGA.

Summary:
- Spin magnetization: 0.00 μB/atom
- Volume: 30.61 Å³/atom

Cell: 8.3824 8.3824 21.1288 Å, 90.00 90.00 120.00°
Space group R-3 (No. 148, hexagonal axes)
Unique sites:
1 Tb 0.0000 0.0000 0.1545
2 Sm 0.0469 0.5984 0.3822
3 Sc 0.0050 0.7798 0.5562

Arrangement Q

TbSm3Sc3 after structural relaxation, computed with PBE-GGA.

Summary:
- Spin magnetization: 0.00 μB/atom
- Volume: 29.59 Å³/atom

Cell: 9.3033 9.3033 5.5269 Å, 90.00 90.00 120.00°
Space group P6_3/m (No. 176)
Unique sites:
1 Tb 0.3333 0.6667 0.2500
2 Sm 0.0495 0.8015 0.2500
3 Sc 0.0967 0.6127 0.7500

Stability check: which of them is least stable? arrangement P.

Arrangement P

Tb3SmSc3 after structural relaxation, computed with PBE-GGA.

Summary:
- Spin magnetization: 0.00 μB/atom
- Volume: 29.09 Å³/atom

Cell: 9.2615 9.2615 5.4821 Å, 90.00 90.00 120.00°
Space group P6_3/m (No. 176)
Unique sites:
1 Tb 0.0490 0.8043 0.2500
2 Sm 0.3333 0.6667 0.2500
3 Sc 0.0966 0.6146 0.7500

Arrangement Q

Tb3SmSc3 after structural relaxation, computed with PBE-GGA.

Summary:
- Spin magnetization: 0.00 μB/atom
- Volume: 30.16 Å³/atom

Cell: 8.3505 8.3505 20.9748 Å, 90.00 90.00 120.00°
Space group R-3 (No. 148, hexagonal axes)
Unique sites:
1 Tb 0.0516 0.6023 0.3811
2 Sm 0.0000 0.0000 0.1519
3 Sc 0.0055 0.7805 0.5569

Stability check: which of them is least stable? arrangement Q.